# 1
A plane-wave DFT calculation with PBE-GGA was carried out for InIrPb2 after structural relaxation.

As for the space group: No. 122. The value obtained for the density of states at the Fermi level is 3.2 states/eV per cell. The calculation puts the raw total energy at -4.60 eV/atom. The value obtained for the formation energy is 0.150 eV/atom.

a b c (Å): 9.320 9.320 7.093
angles (deg): 48.93 48.93 90.00
Sites, in units of the cell vectors:
Pb: 0.875 0.981 0.750
Pb: 0.375 0.269 0.750
In: 0.250 0.750 0.500
Ir: 0.750 0.250 0.500
Pb: 0.731 0.125 0.250
In: 0.500 0.500 0.000
Pb: 0.019 0.625 0.250
Ir: 0.000 0.000 0.000

=====

# 2
A plane-wave DFT calculation with PBE-GGA was carried out for CeCdGaPd after structural relaxation.

As for the space group: No. 216. The value obtained for the density of states at the Fermi level is 5.6 states/eV per cell. The calculation puts the raw total energy at -4.26 eV/atom. The value obtained for the formation energy is -0.490 eV/atom.

a b c (Å): 4.897 4.897 4.897
angles (deg): 60.00 60.00 60.00
Each line ends with the local moment (μB).
Sites, in units of the cell vectors:
Ce: 0.250 0.250 0.250  0.43
Ga: 0.000 0.000 0.000  0.01
Pd: 0.500 0.500 0.500  -0.01
Cd: 0.750 0.750 0.750  0.00

=====

# 3
A plane-wave DFT calculation with PBE-GGA was carried out for BeTc2Hg after structural relaxation.

As for the space group: No. 123. The value obtained for the density of states at the Fermi level is 4.4 states/eV per cell. For the energy above the most stable polymorph in this dataset, the calculation gives 426 meV/atom. The calculation puts the raw total energy at -5.63 eV/atom. The value obtained for the formation energy is 0.562 eV/atom.

a b c (Å): 3.721 3.721 4.302
angles (deg): 90.00 90.00 90.00
Sites, in units of the cell vectors:
Be: 0.500 0.000 0.500
Hg: 0.000 0.500 0.500
Tc: 0.500 0.500 0.000
Tc: 0.000 0.000 0.000

=====

# 4
A plane-wave DFT calculation with PBE-GGA was carried out for Li6Mg2Ga after structural relaxation.

As for the space group: No. 38. The value obtained for the density of states at the Fermi level is 4.9 states/eV per cell. For the energy above the most stable polymorph in this dataset, the calculation gives 0 meV/atom. The calculation puts the raw total energy at -2.04 eV/atom. The value obtained for the formation energy is -0.075 eV/atom.

a b c (Å): 3.062 8.053 8.168
angles (deg): 119.54 90.00 90.00
Sites, in units of the cell vectors:
Ga: 0.500 0.999 0.000
Mg: 0.000 0.332 0.663
Li: 0.000 0.721 0.721
Li: 0.500 0.647 0.000
Mg: 0.000 0.669 0.337
Li: 0.000 0.000 0.279
Li: 0.000 0.283 0.000
Li: 0.500 0.347 0.345
Li: 0.500 0.002 0.655

=====

# 5
A plane-wave DFT calculation with PBE-GGA was carried out for SrSc2Pd after structural relaxation.

As for the space group: No. 166. The value obtained for the density of states at the Fermi level is 3.4 states/eV per cell. For the energy above the most stable polymorph in this dataset, the calculation gives 0 meV/atom. The calculation puts the raw total energy at -4.92 eV/atom. The value obtained for the formation energy is -0.038 eV/atom.

a b c (Å): 10.322 10.322 10.322
angles (deg): 21.45 21.45 21.45
Sites, in units of the cell vectors:
Sc: 0.881 0.881 0.881
Sc: 0.119 0.119 0.119
Pd: 0.500 0.500 0.500
Sr: 0.000 0.000 0.000

=====

# 6
A plane-wave DFT calculation with PBE-GGA was carried out for KMnIr after structural relaxation.

As for the space group: No. 216. The value obtained for the density of states at the Fermi level is 2.1 states/eV per cell. For the energy above the most stable polymorph in this dataset, the calculation gives 707 meV/atom. The calculation puts the raw total energy at -5.24 eV/atom. The value obtained for the formation energy is 1.139 eV/atom.

a b c (Å): 4.660 4.660 4.660
angles (deg): 60.00 60.00 60.00
Each line ends with the local moment (μB).
Sites, in units of the cell vectors:
Ir: 0.750 0.750 0.750  0.32
Mn: 0.500 0.500 0.500  4.15
K: 0.000 0.000 0.000  0.02

=====

- What is the raw total energy in the second record?
  -4.26 eV/atom

=====

- Look up the raw total energy of the second one.
  -4.26 eV/atom